(1)
DFT (PBE-GGA) results for crystalline Ac4TeAsPb2 at its relaxed geometry.

Summary:
- Total magnetic moment: 0.00 μB/cell
- Uncorrected formation energy: -979 meV/atom

extended XYZ file:
```
8
Lattice="8.174 0.000 0.000 0.000 4.667 0.000 -2.666 0.000 8.012" Properties=species:S:1:pos:R:3 pbc="T T T"
Ac 1.275 0.000 1.869
Ac -0.053 2.334 6.048
Ac 5.561 2.334 1.964
Ac 4.233 0.000 6.143
Te 4.087 0.000 0.000
As 0.000 2.334 0.000
Pb -1.333 0.000 4.006
Pb 2.754 2.334 4.006
```

---

(2)
DFT (PBE-GGA) results for crystalline TlSnIr at its relaxed geometry.

Summary:
- Total magnetic moment: 0.00 μB/cell
- Uncorrected energy: -15.0 eV per formula unit

extended XYZ file:
```
6
Lattice="2.612 -2.598 0.000 2.612 2.598 0.000 -2.187 0.000 10.613" Properties=species:S:1:pos:R:3 pbc="T T T"
Tl 0.110 0.000 4.211
Tl 2.927 0.000 6.402
Sn -0.873 0.000 9.594
Sn 3.910 0.000 1.019
Ir 1.299 0.000 1.747
Ir 1.738 0.000 8.866
```

---

(3)
DFT (PBE-GGA) results for crystalline Er8Tm3In4 at its relaxed geometry.

Summary:
- Total magnetic moment: 0.00 μB/cell
- Uncorrected energy: -59.5 eV per formula unit

extended XYZ file:
```
15
Lattice="6.398 -6.319 0.000 6.398 6.319 0.000 -3.278 0.000 5.635" Properties=species:S:1:pos:R:3 pbc="T T T"
Er 6.398 4.531 0.000
Er -0.267 0.000 5.527
Er 1.447 0.000 2.767
Er 4.758 3.301 2.817
Er 4.758 -3.301 2.817
Er 8.069 0.000 2.867
Er 9.784 0.000 0.108
Er 6.398 -4.531 0.000
Tm 3.199 3.159 0.000
Tm 3.199 -3.159 0.000
Tm 4.758 0.000 2.817
In -1.639 0.000 2.817
In 1.560 3.159 2.817
In 1.560 -3.159 2.817
In 6.398 0.000 0.000
```

---

(4)
DFT (PBE-GGA) results for crystalline PaZnCu2O8 at its relaxed geometry.

Summary:
- Total magnetic moment: 0.94 μB/cell
- Uncorrected formation energy: -1049 meV/atom

extended XYZ file:
```
12
Lattice="-3.460 3.460 3.210 3.460 -3.460 3.210 3.460 3.460 -3.210" Properties=species:S:1:pos:R:3 pbc="T T T"
Pa 0.000 0.000 0.000
Zn 3.460 0.000 1.605
Cu 0.000 0.000 3.210
Cu 0.000 3.460 1.605
O 2.213 3.460 -1.328
O 1.247 0.000 1.882
O 0.000 2.228 0.246
O 3.460 2.213 1.328
O 0.000 4.691 0.246
O 0.000 1.247 4.537
O -1.232 3.460 2.964
O 1.232 3.460 2.964
```

---

(5)
DFT (PBE-GGA) results for crystalline Ba2TlSb2 at its relaxed geometry.

Summary:
- Total magnetic moment: 0.58 μB/cell
- Uncorrected formation energy: -472 meV/atom

extended XYZ file:
```
5
Lattice="-2.208 2.208 10.174 2.208 -2.208 10.174 2.208 2.208 -10.174" Properties=species:S:1:pos:R:3 pbc="T T T"
Ba 0.000 0.000 2.263
Ba 0.000 0.000 18.085
Tl 0.000 0.000 10.174
Sb 2.208 0.000 5.087
Sb 0.000 2.208 5.087
```

---

(6)
DFT (PBE-GGA) results for crystalline SbCCl2 at its relaxed geometry.

Summary:
- Total magnetic moment: 0.00 μB/cell
- Uncorrected formation energy: 1215 meV/atom

extended XYZ file:
```
4
Lattice="1.619 0.935 11.320 -1.619 0.935 11.320 0.000 -1.870 11.320" Properties=species:S:1:pos:R:3 pbc="T T T"
Sb 0.000 0.000 0.000
C 0.000 0.000 16.980
Cl 0.000 0.000 4.319
Cl 0.000 0.000 29.640
```